The following is a GGA+U calculation of TaV2MoO6 after structural relaxation, from Alexandria via LeMat-Bulk.

The calculation puts the calculated total energy at -8.39 eV per atom.

The space group is R3 (No. 146, hexagonal axes) and the conventional cell measures 5.3451, 5.3451 and 14.4424 Å, with angles of 90.00, 90.00 and 120.00 degrees. The distinct sites, in fractional coordinates, are Ta at (0.0000, 0.0000, 0.0000), V at (0.0000, 0.0000, 0.3056), V at (0.0000, 0.0000, 0.8034), Mo at (0.0000, 0.0000, 0.4982), O at (0.0006, 0.3607, 0.7351) and O at (0.0436, 0.6807, 0.5742).